Entry 1:
USe2Cl5 after structural relaxation, computed with GGA-PBE.

Lattice parameters (Å, degrees): 5.3856 8.4753 8.3211 78.12 72.17 71.08
Last column: nearest neighbours and their distance in Å.
Element x y z (fractional)
U 0.9649 0.0001 0.9998  6 Cl 2.49-2.69
Se 0.6731 0.4921 0.4218  1 Se 2.18
Se 0.2609 0.5073 0.5796  1 Se 2.18
Cl 0.8275 0.9732 0.3161  1 U 2.49
Cl 0.1189 0.6873 0.0099  1 U 2.50
Cl 0.8109 0.3129 0.9897  1 U 2.50
Cl 0.1018 0.0270 0.6834  1 U 2.49
Cl 0.4650 0.0000 0.9997  2 U 2.69


Entry 2:
USeCl2 after structural relaxation, computed with GGA-PBE.

The calculation puts the excess energy over the best structure of this formula in the dataset at 0.000 eV per atom.

Lattice parameters (Å, degrees): 6.6631 6.9679 11.8933 90.00 90.00 90.00
Last column: nearest neighbours and their distance in Å.
Element x y z (fractional)
U 0.0001 0.2500 0.5965  4 Cl 2.70-2.74, 2 Se 2.71
U 0.9999 0.7500 0.4035  4 Cl 2.70-2.74, 2 Se 2.71
U 0.5001 0.2500 0.9034  4 Cl 2.70-2.74, 2 Se 2.71
U 0.4999 0.7500 0.0966  4 Cl 2.70-2.74, 2 Se 2.71
Se 0.2498 0.5905 0.2499  2 U 2.71
Se 0.7502 0.4095 0.7501  2 U 2.71
Se 0.7498 0.9095 0.2501  2 U 2.71
Se 0.2502 0.0905 0.7499  2 U 2.71
Cl 0.7161 0.9246 0.9291  2 U 2.70-2.74
Cl 0.2839 0.0754 0.0709  2 U 2.70-2.74
Cl 0.2161 0.5754 0.5709  2 U 2.70-2.74
Cl 0.7839 0.4246 0.4291  2 U 2.70-2.74
Cl 0.7160 0.4246 0.0709  2 U 2.70-2.74
Cl 0.2840 0.5754 0.9291  2 U 2.70-2.74
Cl 0.2160 0.0754 0.4290  2 U 2.70-2.74
Cl 0.7840 0.9246 0.5710  2 U 2.70-2.74


Entry 3:
U2SeCl8 after structural relaxation, computed with GGA-PBE.

Lattice parameters (Å, degrees): 7.4327 7.4327 8.7221 90.63 90.63 110.36
Last column: nearest neighbours and their distance in Å.
Element x y z (fractional)
U 0.8834 0.8834 0.2845  5 Cl 2.47-2.73, 1 Se 2.69
U 0.1166 0.1166 0.7155  5 Cl 2.47-2.73, 1 Se 2.69
Se 0.0000 0.0000 0.0000  2 U 2.69
Cl 0.9071 0.3129 0.7099  1 U 2.48
Cl 0.6871 0.0929 0.2901  1 U 2.48
Cl 0.8196 0.8196 0.5880  2 U 2.71-2.73
Cl 0.1804 0.1804 0.4120  2 U 2.71-2.73
Cl 0.3129 0.9071 0.7099  1 U 2.48
Cl 0.0929 0.6871 0.2901  1 U 2.48
Cl 0.6024 0.6024 0.2043  1 U 2.47
Cl 0.3976 0.3976 0.7957  1 U 2.47


Entry 4:
U3Se3Cl after structural relaxation, computed with GGA-PBE.

Lattice parameters (Å, degrees): 4.0560 4.0560 11.0977 90.00 90.00 90.00
Last column: nearest neighbours and their distance in Å.
Element x y z (fractional)
U 0.0000 0.0000 0.7469  1 Cl 2.74, 5 Se 2.81-2.87
U 0.0000 0.0000 0.2531  1 Cl 2.74, 5 Se 2.81-2.87
U 0.5000 0.5000 0.0000  6 Se 2.87-2.96
Se 0.0000 0.0000 0.0000  6 U 2.81-2.87
Se 0.5000 0.5000 0.7330  5 U 2.87-2.96
Se 0.5000 0.5000 0.2670  5 U 2.87-2.96
Cl 0.0000 0.0000 0.5000  2 U 2.74


Entry 5:
U2Se4Cl after structural relaxation, computed with GGA-PBE.

Lattice parameters (Å, degrees): 4.3073 9.2643 9.2643 90.00 90.00 90.00
Last column: nearest neighbours and their distance in Å.
Element x y z (fractional)
U 0.0000 0.3010 0.6990  1 Cl 2.61, 6 Se 2.87-2.91
U 0.0000 0.6990 0.3010  1 Cl 2.61, 6 Se 2.87-2.91
U 0.5000 0.8010 0.8010  1 Cl 2.61, 6 Se 2.87-2.91
U 0.5000 0.1990 0.1990  1 Cl 2.61, 6 Se 2.87-2.91
Se 0.0000 0.0126 0.2831  3 U 2.87-2.91
Se 0.0000 0.9874 0.7170  3 U 2.87-2.91
Se 0.5000 0.2170 0.5126  3 U 2.87-2.91
Se 0.5000 0.7830 0.4874  3 U 2.87-2.91
Se 0.5000 0.4874 0.7830  3 U 2.87-2.91
Se 0.5000 0.5126 0.2170  3 U 2.87-2.91
Se 0.0000 0.2831 0.0126  3 U 2.87-2.91
Se 0.0000 0.7170 0.9874  3 U 2.87-2.91
Cl 0.5000 0.0000 0.0000  2 U 2.61
Cl 0.0000 0.5000 0.5000  2 U 2.61


Entry 6:
V2SeCl after structural relaxation, computed with GGA-PBE.

The calculation puts the excess energy over the best structure of this formula in the dataset at 0.026 eV per atom.

Lattice parameters (Å, degrees): 4.3819 4.3819 4.3819 60.00 60.00 60.00
Last column: nearest neighbours and their distance in Å.
Element x y z (fractional)
V 0.2500 0.2500 0.2500  4 Se 2.68, 4 Cl 2.68
V 0.7500 0.7500 0.7500  4 Se 2.68, 4 Cl 2.68
Se 0.5000 0.5000 0.5000  8 V 2.68
Cl 0.0000 0.0000 0.0000  8 V 2.68


Entry 7:
VSe2Cl after structural relaxation, computed with GGA-PBE.

The calculation puts the excess energy over the best structure of this formula in the dataset at 0.156 eV per atom.

Lattice parameters (Å, degrees): 8.3310 8.3310 8.3310 24.07 24.07 24.07
Last column: nearest neighbours and their distance in Å.
Element x y z (fractional)
V 0.5000 0.5000 0.5000  6 Se 2.50
Se 0.8948 0.8948 0.8948  3 V 2.50, 1 Cl 2.55
Se 0.1052 0.1052 0.1052  3 V 2.50, 1 Cl 2.55
Cl 0.0000 0.0000 0.0000  2 Se 2.55


Entry 8:
VSe3Cl after structural relaxation, computed with GGA-PBE.

The calculation puts the excess energy over the best structure of this formula in the dataset at 0.228 eV per atom.

Lattice parameters (Å, degrees): 4.7969 4.7969 4.7969 90.00 90.00 90.00
Last column: nearest neighbours and their distance in Å.
Element x y z (fractional)
V 0.0000 0.0000 0.0000  6 Se 2.40
Se 0.0000 0.5000 0.0000  2 V 2.40
Se 0.0000 0.0000 0.5000  2 V 2.40
Se 0.5000 0.0000 0.0000  2 V 2.40
Cl 0.5000 0.5000 0.5000  12 Se 3.39


Entry 9:
VSe2Cl after structural relaxation, computed with GGA-PBE.

The calculation puts the excess energy over the best structure of this formula in the dataset at 1.023 eV per atom.

Lattice parameters (Å, degrees): 12.1260 12.1260 12.1260 13.56 13.56 13.56
Last column: nearest neighbours and their distance in Å.
Element x y z (fractional)
V 0.0000 0.0000 0.0000  2 Se 2.49
Se 0.9309 0.9309 0.9309  1 V 2.49
Se 0.0691 0.0691 0.0691  1 V 2.49
Cl 0.5000 0.5000 0.5000  6 Cl 2.86


Entry 10:
VSe3Cl after structural relaxation, computed with GGA-PBE.

The calculation puts the excess energy over the best structure of this formula in the dataset at 0.000 eV per atom.

Lattice parameters (Å, degrees): 5.2102 7.1807 7.1888 120.04 90.00 90.00
Last column: nearest neighbours and their distance in Å.
Element x y z (fractional)
V 0.0000 0.0000 0.0000  6 Se 2.43, 2 V 2.60-2.61
V 0.5000 0.0000 0.0000  6 Se 2.43, 2 V 2.60-2.61
Se 0.7500 0.6698 0.8349  2 V 2.43
Se 0.2500 0.8351 0.6703  2 V 2.43
Se 0.2500 0.3302 0.1651  2 V 2.43
Se 0.7500 0.1649 0.3298  2 V 2.43
Se 0.2500 0.8351 0.1648  2 V 2.43
Se 0.7500 0.1649 0.8352  2 V 2.43
Cl 0.7500 0.6672 0.3337  12 Se 3.34-3.60
Cl 0.2500 0.3327 0.6664  12 Se 3.34-3.60


Entry 11:
V2SeCl3 after structural relaxation, computed with GGA-PBE.

Lattice parameters (Å, degrees): 3.5926 8.1508 13.4620 129.86 90.00 102.73
Last column: nearest neighbours and their distance in Å.
Element x y z (fractional)
V 0.1206 0.2412 0.8588  4 Cl 2.46-2.57, 2 Se 2.50
V 0.8794 0.7588 0.1412  4 Cl 2.46-2.57, 2 Se 2.50
V 0.3840 0.7680 0.6302  5 Cl 2.47-2.54, 1 Se 2.50
V 0.6160 0.2320 0.3698  5 Cl 2.47-2.54, 1 Se 2.50
Se 0.5740 0.1480 0.7006  3 V 2.50
Se 0.4260 0.8520 0.2994  3 V 2.50
Cl 0.9320 0.8641 0.7868  3 V 2.47-2.48
Cl 0.0680 0.1359 0.2132  3 V 2.47-2.48
Cl 0.3200 0.6400 0.9697  3 V 2.46-2.57
Cl 0.6800 0.3600 0.0303  3 V 2.46-2.57
Cl 0.1826 0.3652 0.5326  3 V 2.47-2.54
Cl 0.8174 0.6348 0.4674  3 V 2.47-2.54


Entry 12:
VSeCl after structural relaxation, computed with GGA-PBE.

The calculation puts the excess energy over the best structure of this formula in the dataset at 0.000 eV per atom.

Lattice parameters (Å, degrees): 3.5793 6.0303 7.0809 102.72 104.64 90.00
Last column: nearest neighbours and their distance in Å.
Element x y z (fractional)
V 0.2521 0.7146 0.5042  3 Se 2.43-2.50, 3 Cl 2.52-2.55
V 0.7479 0.2854 0.4958  3 Se 2.43-2.50, 3 Cl 2.52-2.55
Se 0.8698 0.6473 0.7397  3 V 2.43-2.50
Se 0.1301 0.3527 0.2603  3 V 2.43-2.50
Cl 0.6554 0.8676 0.3107  3 V 2.52-2.55
Cl 0.3446 0.1324 0.6893  3 V 2.52-2.55


Entry 13:
V2Se3Cl after structural relaxation, computed with GGA-PBE.

Lattice parameters (Å, degrees): 3.3173 3.3173 27.4193 90.00 90.00 120.00
Last column: nearest neighbours and their distance in Å.
Element x y z (fractional)
V 0.6667 0.3333 0.0002  6 Se 2.50
V 0.6667 0.3333 0.4993  6 Se 2.50
V 0.3333 0.6667 0.7499  6 Se 2.50
V 0.3333 0.6667 0.2466  6 Cl 2.43-2.48
Se 0.6667 0.3333 0.6913  3 V 2.50
Se 0.3333 0.6667 0.0589  3 V 2.50
Se 0.3333 0.6667 0.5579  3 V 2.50
Se 0.3333 0.6667 0.9417  3 V 2.50
Se 0.3333 0.6667 0.4407  3 V 2.50
Se 0.6667 0.3333 0.8085  3 V 2.50
Cl 0.6667 0.3333 0.1922  3 V 2.43
Cl 0.6667 0.3333 0.3039  3 V 2.48


Entry 14:
V2SeCl after structural relaxation, computed with GGA-PBE.

The calculation puts the excess energy over the best structure of this formula in the dataset at 0.000 eV per atom.

Lattice parameters (Å, degrees): 5.5717 5.5717 6.8651 66.06 66.06 90.00
Last column: nearest neighbours and their distance in Å.
Element x y z (fractional)
V 0.6159 0.1250 0.2500  2 Cl 2.39, 2 Se 2.45
V 0.1341 0.6250 0.2500  2 Cl 2.39, 2 Se 2.45
V 0.3750 0.3841 0.7500  2 Cl 2.39, 2 Se 2.45
V 0.8750 0.8659 0.7500  2 Cl 2.39, 2 Se 2.45
Se 0.0000 0.0000 0.0000  4 V 2.45
Se 0.7500 0.2500 0.5000  4 V 2.45
Cl 0.5000 0.5000 0.0000  4 V 2.39
Cl 0.2500 0.7500 0.5000  4 V 2.39


Entry 15:
VSe3Cl after structural relaxation, computed with GGA-PBE.

The calculation puts the excess energy over the best structure of this formula in the dataset at 1.258 eV per atom.

Lattice parameters (Å, degrees): 4.9461 4.9461 4.9461 90.00 90.00 90.00
Last column: nearest neighbours and their distance in Å.
Element x y z (fractional)
V 0.5000 0.5000 0.5000  12 Se 3.50
Se 0.0000 0.5000 0.0000  2 Cl 2.47
Se 0.0000 0.0000 0.5000  2 Cl 2.47
Se 0.5000 0.0000 0.0000  2 Cl 2.47
Cl 0.0000 0.0000 0.0000  6 Se 2.47


Entry 16:
VSe2Cl after structural relaxation, computed with GGA-PBE.

The calculation puts the excess energy over the best structure of this formula in the dataset at 0.000 eV per atom.

Lattice parameters (Å, degrees): 5.6583 6.0833 10.0475 90.02 90.00 90.00
Last column: nearest neighbours and their distance in Å.
Element x y z (fractional)
V 0.9995 0.2500 0.5644  4 Se 2.36-2.45, 2 Cl 2.51
V 0.0005 0.7500 0.4356  4 Se 2.36-2.45, 2 Cl 2.51
V 0.4995 0.2500 0.9356  4 Se 2.36-2.45, 2 Cl 2.51
V 0.5005 0.7500 0.0644  4 Se 2.36-2.45, 2 Cl 2.51
Se 0.7546 0.9259 0.9118  2 V 2.36-2.45
Se 0.2454 0.0741 0.0882  2 V 2.36-2.45
Se 0.2546 0.5741 0.5883  2 V 2.36-2.45
Se 0.7454 0.4259 0.4117  2 V 2.36-2.45
Se 0.7543 0.4258 0.0883  2 V 2.36-2.45
Se 0.2457 0.5742 0.9117  2 V 2.36-2.45
Se 0.2543 0.0742 0.4117  2 V 2.36-2.45
Se 0.7457 0.9258 0.5883  2 V 2.36-2.45
Cl 0.2497 0.6001 0.2500  2 V 2.51
Cl 0.7503 0.3999 0.7500  2 V 2.51
Cl 0.7497 0.8999 0.2500  2 V 2.51
Cl 0.2503 0.1001 0.7500  2 V 2.51


Entry 17:
VSeCl2 after structural relaxation, computed with GGA-PBE.

The calculation puts the excess energy over the best structure of this formula in the dataset at 0.000 eV per atom.

Lattice parameters (Å, degrees): 8.8240 8.8240 6.6826 48.68 48.68 90.00
Last column: nearest neighbours and their distance in Å.
Element x y z (fractional)
V 0.5000 0.5000 0.0000  2 Se 2.39, 4 Cl 2.47
V 0.2500 0.7500 0.5000  2 Se 2.39, 4 Cl 2.47
Se 0.0000 0.0000 0.0000  2 V 2.39
Se 0.7500 0.2500 0.5000  2 V 2.39
Cl 0.4800 0.1250 0.2500  2 V 2.47
Cl 0.2700 0.6250 0.2500  2 V 2.47
Cl 0.3750 0.5200 0.7500  2 V 2.47
Cl 0.8750 0.7300 0.7500  2 V 2.47


Entry 18:
VSeCl2 after structural relaxation, computed with GGA-PBE.

The calculation puts the excess energy over the best structure of this formula in the dataset at 0.128 eV per atom.

Lattice parameters (Å, degrees): 10.9205 10.9205 10.9205 16.18 16.18 16.18
Last column: nearest neighbours and their distance in Å.
Element x y z (fractional)
V 0.5000 0.5000 0.5000  6 Cl 2.38
Se 0.0000 0.0000 0.0000  6 Se 3.07
Cl 0.8826 0.8826 0.8826  3 V 2.38
Cl 0.1174 0.1174 0.1174  3 V 2.38


Entry 19:
VSeCl after structural relaxation, computed with GGA-PBE.

The calculation puts the excess energy over the best structure of this formula in the dataset at 0.074 eV per atom.

Lattice parameters (Å, degrees): 3.5100 3.5100 12.9542 90.01 97.75 120.09
Last column: nearest neighbours and their distance in Å.
Element x y z (fractional)
V 0.8428 0.9183 0.7612  3 Se 2.48, 3 Cl 2.53-2.54
V 0.1572 0.0817 0.2388  3 Se 2.48, 3 Cl 2.53-2.54
Se 0.2504 0.6228 0.8732  3 V 2.48
Se 0.7496 0.3772 0.1268  3 V 2.48
Cl 0.5699 0.7881 0.3580  3 V 2.53-2.54
Cl 0.4301 0.2119 0.6420  3 V 2.53-2.54


Entry 20:
VSe2Cl after structural relaxation, computed with GGA-PBE.

The calculation puts the excess energy over the best structure of this formula in the dataset at 0.382 eV per atom.

Lattice parameters (Å, degrees): 6.5405 6.5405 6.8577 61.52 61.52 90.00
Last column: nearest neighbours and their distance in Å.
Element x y z (fractional)
V 0.0000 0.0000 0.0000  4 Se 2.32
V 0.7500 0.2500 0.5000  4 Se 2.32
Se 0.7149 0.1250 0.2500  2 V 2.32
Se 0.0351 0.6250 0.2500  2 V 2.32
Se 0.3750 0.2851 0.7500  2 V 2.32
Se 0.8750 0.9649 0.7500  2 V 2.32
Cl 0.5000 0.5000 0.0000  4 Se 3.04
Cl 0.2500 0.7500 0.5000  4 Se 3.04


Entry 21:
VSeCl after structural relaxation, computed with GGA-PBE.

The calculation puts the excess energy over the best structure of this formula in the dataset at 0.077 eV per atom.

Lattice parameters (Å, degrees): 3.4983 3.4983 6.6358 90.00 90.00 120.00
Last column: nearest neighbours and their distance in Å.
Element x y z (fractional)
Cl 0.0000 0.0000 0.1076  3 V 2.53
Se 0.3333 0.6667 0.5554  3 V 2.49
V 0.6667 0.3333 0.3370  3 Se 2.49, 3 Cl 2.53


Entry 22:
VSe2Cl after structural relaxation, computed with GGA-PBE.

The calculation puts the excess energy over the best structure of this formula in the dataset at 0.859 eV per atom.

Lattice parameters (Å, degrees): 4.6793 4.6793 4.6793 60.00 60.00 60.00
Last column: nearest neighbours and their distance in Å.
Element x y z (fractional)
V 0.5000 0.5000 0.5000  8 Se 2.87
Se 0.2500 0.2500 0.2500  4 Cl 2.87, 4 V 2.87
Se 0.7500 0.7500 0.7500  4 Cl 2.87, 4 V 2.87
Cl 0.0000 0.0000 0.0000  8 Se 2.87


Entry 23:
VWSe2Cl after structural relaxation, computed with GGA-PBE.

Lattice parameters (Å, degrees): 4.6244 5.1434 4.6244 90.00 90.00 90.00
Last column: nearest neighbours and their distance in Å.
Element x y z (fractional)
Cl 0.5000 0.5000 0.5000  4 W 3.27, 8 Se 3.46
Se 0.0000 0.0000 0.5000  2 V 2.31
Se 0.5000 0.0000 0.0000  2 V 2.31
W 0.0000 0.5000 0.0000  2 V 2.57
V 0.0000 0.0000 0.0000  4 Se 2.31, 2 W 2.57


Entry 24:
Zr2VSe2Cl4 after structural relaxation, computed with GGA-PBE.

Lattice parameters (Å, degrees): 3.3905 3.3905 21.7286 90.00 90.00 120.00
Last column: nearest neighbours and their distance in Å.
Element x y z (fractional)
Zr 0.0000 0.0000 0.9823  6 Cl 2.61-2.62
Zr 0.6667 0.3333 0.6509  6 Cl 2.61-2.62
V 0.0000 0.0000 0.3258  6 Se 2.52
Se 0.6667 0.3333 0.3989  3 V 2.52
Se 0.6667 0.3333 0.2528  3 V 2.52
Cl 0.0000 0.0000 0.5715  3 Zr 2.61
Cl 0.6667 0.3333 0.0618  3 Zr 2.61
Cl 0.6667 0.3333 0.9025  3 Zr 2.62
Cl 0.0000 0.0000 0.7308  3 Zr 2.62


Entry 25:
WSe4Cl after structural relaxation, computed with GGA-PBE.

Lattice parameters (Å, degrees): 5.6195 5.6195 5.6195 60.00 60.00 60.00
Last column: nearest neighbours and their distance in Å.
Element x y z (fractional)
W 0.7500 0.7500 0.7500  12 Se 3.29, 4 Cl 3.44
Se 0.8737 0.3754 0.3754  6 Se 2.80-2.82
Se 0.3754 0.3754 0.8737  6 Se 2.80-2.82
Se 0.3754 0.8737 0.3754  6 Se 2.80-2.82
Se 0.3754 0.3754 0.3754  6 Se 2.80-2.82
Cl 0.0000 0.0000 0.0000  12 Se 3.30, 4 W 3.44


no.,uncorrected formation energy (kcal/mol of atoms)
1,-24.8
2,-32.3
3,-34.8
4,-26.2
5,-22.9
6,-1.0
7,-10.2
8,-0.7
9,9.8
10,-6.0
11,-23.1
12,-22.1
13,-17.1
14,-1.6
15,23.0
16,-13.8
17,-13.9
18,-10.9
19,-20.4
20,-5.0
21,-20.3
22,6.0
23,17.7
24,-30.8
25,24.8